## CdSiIr2 (PBE)

Data for a geometry-optimized CdSiIr2 structure.

Unit cell a=3.2018 b=3.2018 c=6.3723 alpha=90.00 beta=90.00 gamma=90.00
Last column: nearest neighbours and their distance in Å.
Space group P4mm (No. 99)
Inequivalent atoms, fractional coordinates:
Cd  0.0000  0.0000  0.0000 x1  5 Ir 2.83-2.92, 4 Si 3.08
Si  0.5000  0.5000  0.6730 x1  5 Ir 2.41-2.60
Ir  0.0000  0.0000  0.5413 x1  4 Si 2.41
Ir  0.5000  0.5000  0.2653 x1  1 Si 2.60, 4 Cd 2.83, 4 Ir 2.87

Computed properties:
As for the formation energy from raw total energies: 0.1422 eV per atom. The calculation puts the size of the total moment at 0.00 μB/f.u. The value obtained for the density of states at the Fermi level is 1.068 states/eV per atom.